# 1
## TaZnW (GGA-PBE)

Data for a relaxed TaZnW crystal.

Properties
DFT total energy: -25.52 eV per cell
Polymorph energy (0 for the lowest one): 0.0826 eV per atom
Magnetization: 0.0 μB/f.u.
Energy of formation: 0.186 eV per atom
DOS at the Fermi energy: 1.1 states/eV/cell
Mass density: 14.7 Mg/m³

Cell lengths 6.802, 6.802, 6.802 Å; angles 156.82, 156.82, 33.01 degrees
Fractional positions:
Ta1 0.006 0.006 0.000
W1 0.326 0.326 0.000
Zn1 0.669 0.669 0.000



# 2
## Co3B (GGA-PBE)

Data for a relaxed Co3B crystal.

Properties
DFT total energy: -57.31 eV per cell
Magnetization: 3.5 μB/f.u.
Energy of formation: -0.165 eV per atom
DOS at the Fermi energy: 7.5 states/eV/cell
Mass density: 8.4 Mg/m³

Cell lengths 2.666, 4.371, 6.716 Å; angles 90.00, 90.00, 107.76 degrees
Site moments in Bohr magnetons follow the coordinates.
Fractional positions:
Co1 0.365 0.729 0.439  1.16
Co2 0.635 0.271 0.561  1.16
Co3 0.927 0.854 0.750  1.29
Co4 0.073 0.146 0.250  1.29
Co5 0.365 0.729 0.061  1.16
Co6 0.635 0.271 0.939  1.16
B1 0.760 0.520 0.250  -0.08
B2 0.240 0.480 0.750  -0.08



# 3
## Ca2ErAu6 (GGA-PBE)

Data for a relaxed Ca2ErAu6 crystal.

Properties
DFT total energy: -34.46 eV per cell
Magnetization: 0.0 μB/f.u.
Energy of formation: -0.693 eV per atom
DOS at the Fermi energy: 3.1 states/eV/cell
Mass density: 12.2 Mg/m³

Cell lengths 5.315, 5.289, 8.406 Å; angles 71.66, 80.88, 59.74 degrees
Fractional positions:
Ca1 0.500 0.833 0.834
Ca2 0.500 0.167 0.166
Er1 0.000 0.000 0.500
Au1 0.159 0.836 0.173
Au2 0.841 0.491 0.173
Au3 0.841 0.164 0.827
Au4 0.159 0.509 0.827
Au5 0.331 0.328 0.500
Au6 0.669 0.672 0.500



Question: Which of these has the highest DOS at the Fermi energy?
Answer: Co3B



Question: Look up the energy of formation of the first one.
Answer: 0.186 eV per atom



Question: energy of formation of number 3 (Ca2ErAu6)?
Answer: -0.693 eV per atom



Repeat the second record exactly.
## Co3B (GGA-PBE)

Data for a relaxed Co3B crystal.

Properties
DFT total energy: -57.31 eV per cell
Magnetization: 3.5 μB/f.u.
Energy of formation: -0.165 eV per atom
DOS at the Fermi energy: 7.5 states/eV/cell
Mass density: 8.4 Mg/m³

Cell lengths 2.666, 4.371, 6.716 Å; angles 90.00, 90.00, 107.76 degrees
Site moments in Bohr magnetons follow the coordinates.
Fractional positions:
Co1 0.365 0.729 0.439  1.16
Co2 0.635 0.271 0.561  1.16
Co3 0.927 0.854 0.750  1.29
Co4 0.073 0.146 0.250  1.29
Co5 0.365 0.729 0.061  1.16
Co6 0.635 0.271 0.939  1.16
B1 0.760 0.520 0.250  -0.08
B2 0.240 0.480 0.750  -0.08